4
Lattice="3.4116 0.0000 0.0000 0.0000 3.4116 0.0000 0.0000 0.0000 5.9951" Properties=species:S:1:pos:R:3 comment="TaMoAu2 | Alexandria via LeMat-Bulk | GGA-PBE | optimized geometry" delta_e_f_ev_per_atom=0.049 crystal_system=tetragonal mass_density_g_cm3=16.0 m_tot_mub_per_fu=0.0 e_tot_ev_per_atom=-7.260 space_group="P4mm (99)" pbc="T T T"
Ta 0.0000 0.0000 0.0000
Mo 1.7058 1.7058 4.6322
Au 0.0000 0.0000 3.0686
Au 1.7058 1.7058 1.5790


80
Lattice="-7.8888 7.8888 7.8888 7.8888 -7.8888 7.8888 7.8888 7.8888 -7.8888" Properties=species:S:1:pos:R:3 comment="Ca12P3C5 | Alexandria via LeMat-Bulk | GGA-PBE | optimized geometry" delta_e_f_ev_per_atom=-0.006 crystal_system=cubic mass_density_g_cm3=2.1 m_tot_mub_per_fu=5.1 e_tot_ev_per_atom=-4.324 space_group="Ia-3d (230)" pbc="T T T"
Ca 2.3483 -0.4364 0.8858
Ca 9.4848 4.8302 -4.3808
Ca 10.2371 0.4364 0.8858
Ca 9.4848 -3.0585 4.3808
Ca 7.4524 -0.8858 2.3483
Ca 12.2695 -1.5961 3.0585
Ca 0.8858 2.3483 -0.4364
Ca 10.9473 3.5080 -1.5961
Ca 4.8302 4.3808 -1.5961
Ca 7.0029 2.3483 0.4364
Ca -0.4364 0.8858 2.3483
Ca 4.3808 -1.5961 4.8302
Ca 7.4524 7.0029 -2.3483
Ca 4.3808 1.5961 3.0585
Ca 4.8302 -4.3808 9.4848
Ca 7.0029 -2.3483 7.4524
Ca 3.0585 4.3808 1.5961
Ca 8.7746 5.5405 0.4364
Ca 4.3808 9.4848 -3.0585
Ca 7.4524 0.8858 5.5405
Ca 2.3483 7.4524 -0.8858
Ca 9.4848 3.0585 3.5080
Ca 1.5961 3.0585 4.3808
Ca 2.3483 0.4364 7.0029
Ca 5.5405 7.4524 0.8858
Ca 6.2927 4.8302 3.5080
Ca -1.5961 4.8302 4.3808
Ca 5.5405 0.4364 8.7746
Ca 0.4364 7.0029 2.3483
Ca 3.5080 -1.5961 10.9473
Ca -0.8858 2.3483 7.4524
Ca 4.8302 3.5080 6.2927
Ca 0.8858 10.2371 0.4364
Ca 3.0585 12.2695 -1.5961
Ca 3.5080 6.2927 4.8302
Ca 0.4364 0.8858 10.2371
Ca 3.5080 9.4848 3.0585
Ca 8.3251 7.0029 5.5405
Ca 0.8858 5.5405 7.4524
Ca 3.0585 3.5080 9.4848
Ca -3.0585 4.3808 9.4848
Ca 7.0029 5.5405 8.3251
Ca -4.3808 9.4848 4.8302
Ca 0.4364 8.7746 5.5405
Ca -1.5961 10.9473 3.5080
Ca -2.3483 7.4524 7.0029
Ca -1.5961 3.0585 12.2695
Ca 5.5405 8.3251 7.0029
P 3.9444 1.9722 0.0000
P 7.8888 3.9444 -1.9722
P 1.9722 0.0000 3.9444
P 9.8610 0.0000 3.9444
P 0.0000 3.9444 1.9722
P 3.9444 -1.9722 7.8888
P 3.9444 9.8610 0.0000
P 7.8888 3.9444 5.9166
P -1.9722 7.8888 3.9444
P 5.9166 7.8888 3.9444
P 0.0000 3.9444 9.8610
P 3.9444 5.9166 7.8888
C 0.0000 0.0000 0.0000
C 3.9444 3.9444 -3.9444
C 3.9444 -3.9444 3.9444
C 7.8888 0.0000 0.0000
C 11.8332 1.9722 0.0000
C 7.8888 -3.9444 5.9166
C 5.9166 7.8888 -3.9444
C 5.9166 0.0000 3.9444
C 3.9444 5.9166 0.0000
C 7.8888 3.9444 1.9722
C -3.9444 3.9444 3.9444
C 0.0000 7.8888 0.0000
C 0.0000 0.0000 7.8888
C 3.9444 3.9444 3.9444
C 0.0000 3.9444 5.9166
C 3.9444 1.9722 7.8888
C 1.9722 7.8888 3.9444
C 1.9722 0.0000 11.8332
C 0.0000 11.8332 1.9722
C -3.9444 5.9166 7.8888


10
Lattice="7.2141 0.0000 0.0000 0.0000 7.2141 0.0000 0.0000 0.0000 2.7927" Properties=species:S:1:pos:R:3 comment="Mn2Ir2Pt | Alexandria via LeMat-Bulk | GGA-PBE | optimized geometry" delta_e_f_ev_per_atom=-0.005 crystal_system=tetragonal mass_density_g_cm3=15.8 m_tot_mub_per_fu=5.1 e_tot_ev_per_atom=-8.425 space_group="P4/mbm (127)" pbc="T T T"
Mn 1.1829 2.4242 0.0000
Mn 2.4242 6.0312 0.0000
Mn 4.7900 1.1829 0.0000
Mn 6.0312 4.7900 0.0000
Ir 0.9560 4.5631 1.3963
Ir 2.6511 0.9560 1.3963
Ir 4.5631 6.2581 1.3963
Ir 6.2581 2.6511 1.3963
Pt 0.0000 0.0000 1.3963
Pt 3.6071 3.6071 1.3963


5
Lattice="5.8241 0.0000 0.0000 0.0000 5.8241 0.0000 0.0000 0.0000 5.8241" Properties=species:S:1:pos:R:3 comment="Tl3SbPb | Alexandria via LeMat-Bulk | GGA-PBE | optimized geometry" e_form_raw_ev_per_atom=0.45 crystal_system=cubic mass_density_g_cm3=7.9 m_tot_mub_per_fu=0.0 e_tot_ev_per_atom=-2.534 space_group="Pm-3m (221)" pbc="T T T"
Tl 0.0000 0.0000 2.9120
Tl 0.0000 2.9120 0.0000
Tl 2.9120 0.0000 0.0000
Sb 0.0000 0.0000 0.0000
Pb 2.9120 2.9120 2.9120


8
Lattice="3.3875 0.0000 0.0000 0.0000 10.9876 0.0000 -1.6765 0.0000 6.5395" Properties=species:S:1:pos:R:3 comment="SrCa2N | Alexandria via LeMat-Bulk | GGA-PBE | optimized geometry" e_form_raw_ev_per_atom=-0.38 crystal_system=monoclinic mass_density_g_cm3=2.5 m_tot_mub_per_fu=0.0 e_tot_ev_per_atom=-3.887 space_group="P2_1/m (11)" pbc="T T T"
Sr 0.0035 2.7469 2.1806
Sr 1.7075 8.2407 4.3589
Ca 0.0050 1.1976 5.0072
Ca 0.0050 4.2962 5.0072
Ca 1.7060 6.6914 1.5323
Ca 1.7060 9.7900 1.5323
N 0.0129 8.2407 2.3684
N 1.6981 2.7469 4.1711


16
Lattice="7.6569 0.0000 0.0000 0.0000 7.6569 0.0000 0.0000 0.0000 7.6569" Properties=species:S:1:pos:R:3 comment="CoBi | Alexandria via LeMat-Bulk | GGA-PBE | optimized geometry" delta_e_f_ev_per_atom=0.433 crystal_system=cubic mass_density_g_cm3=7.9 m_tot_mub_per_fu=0.0 e_tot_ev_per_atom=-5.060 space_group="I-43m (217)" pbc="T T T"
Co 0.8828 0.8828 0.8828
Co 0.8828 6.7741 6.7741
Co 2.9457 2.9457 4.7113
Co 2.9457 4.7113 2.9457
Co 4.7113 2.9457 2.9457
Co 4.7113 4.7113 4.7113
Co 6.7741 0.8828 6.7741
Co 6.7741 6.7741 0.8828
Bi 1.5257 1.5257 6.1312
Bi 1.5257 6.1312 1.5257
Bi 2.3027 2.3027 2.3027
Bi 2.3027 5.3542 5.3542
Bi 5.3542 2.3027 5.3542
Bi 5.3542 5.3542 2.3027
Bi 6.1312 1.5257 1.5257
Bi 6.1312 6.1312 6.1312


12
Lattice="3.5579 -5.4927 0.0000 3.5579 5.4927 0.0000 0.0000 0.0000 5.5349" Properties=species:S:1:pos:R:3 comment="CeFeSi3Rh | Alexandria via LeMat-Bulk | GGA-PBE | optimized geometry" e_form_raw_ev_per_atom=-0.47 crystal_system=orthorhombic mass_density_g_cm3=5.9 m_tot_mub_per_fu=1.2 e_tot_ev_per_atom=-6.805 space_group="Cmcm (63)" pbc="T T T"
Ce 3.5579 2.8704 4.1512
Ce 3.5579 -2.8704 1.3837
Fe 3.5579 5.0318 1.3837
Fe 3.5579 -5.0318 4.1512
Si 3.5579 2.9304 1.3837
Si 1.7352 0.0000 0.0000
Si 1.7352 0.0000 2.7675
Si 5.3807 0.0000 0.0000
Si 5.3807 0.0000 2.7675
Si 3.5579 -2.9304 4.1512
Rh 3.5579 0.7198 1.3837
Rh 3.5579 -0.7198 4.1512


12
Lattice="3.1416 -5.4413 0.0000 3.1416 5.4413 0.0000 -2.0948 0.0000 6.2892" Properties=species:S:1:pos:R:3 comment="K3Ce2SmO6 | Alexandria via LeMat-Bulk | GGA-PBE | optimized geometry" e_form_raw_ev_per_atom=-2.61 crystal_system=monoclinic mass_density_g_cm3=5.0 m_tot_mub_per_fu=2.0 e_tot_ev_per_atom=-6.747 space_group="C2/m (12)" pbc="T T T"
K 0.0000 0.0000 0.0000
K 3.1416 1.8114 0.0000
K 3.1416 -1.8114 0.0000
Ce 2.0942 3.6275 3.1446
Ce 2.0942 -3.6275 3.1446
Sm 2.0942 0.0000 3.1446
O 1.0522 1.8046 1.9525
O 0.0106 0.0000 4.3378
O 1.0522 -1.8046 1.9525
O 3.1362 1.8046 4.3366
O 4.1778 0.0000 1.9513
O 3.1362 -1.8046 4.3366


14
Lattice="5.3372 -3.2279 0.0000 5.3372 3.2279 0.0000 -1.2343 0.0000 6.4348" Properties=species:S:1:pos:R:3 comment="HoPClO4 | Alexandria via LeMat-Bulk | GGA-PBE | optimized geometry" e_form_raw_ev_per_atom=-2.48 crystal_system=monoclinic mass_density_g_cm3=4.4 m_tot_mub_per_fu=0.0 e_tot_ev_per_atom=-7.004 space_group="C2/m (12)" pbc="T T T"
Ho 1.7811 0.0000 2.1609
Ho 7.6589 0.0000 4.2739
P 0.6047 0.0000 4.9892
P 8.8353 0.0000 1.4457
Cl 4.2313 0.0000 4.0854
Cl 5.2087 0.0000 2.3494
O -0.3137 0.0000 1.6404
O 9.7537 0.0000 4.7944
O 1.2522 1.2100 4.2151
O 2.2300 0.0000 0.0261
O 1.2522 -1.2100 4.2151
O 8.1878 1.2100 2.2197
O 7.2100 0.0000 6.4087
O 8.1878 -1.2100 2.2197


12
Lattice="7.9385 0.0000 0.0000 0.0000 4.5909 0.0000 -2.7679 0.0000 4.2698" Properties=species:S:1:pos:R:3 comment="NiRu2 | Alexandria via LeMat-Bulk | GGA-PBE | optimized geometry" delta_e_f_ev_per_atom=0.048 crystal_system=monoclinic mass_density_g_cm3=11.1 m_tot_mub_per_fu=0.0 e_tot_ev_per_atom=-8.063 space_group="C2/c (15)" pbc="T T T"
Ni -0.6920 0.3796 1.0674
Ni -2.0759 4.2113 3.2023
Ni 1.8933 1.9159 3.2023
Ni 3.2773 2.6750 1.0674
Ru -0.7318 1.8980 3.2013
Ru 0.6521 2.6929 1.0664
Ru 1.9332 0.3975 1.0685
Ru 0.5492 4.1934 3.2033
Ru 4.6213 0.3975 1.0664
Ru 3.2374 4.1934 3.2013
Ru 4.5185 1.8980 3.2033
Ru 5.9024 2.6929 1.0685


12
Lattice="2.5892 -7.8107 0.0000 2.5892 7.8107 0.0000 0.0000 0.0000 7.3768" Properties=species:S:1:pos:R:3 comment="Ho5ScHg6 | Alexandria via LeMat-Bulk | GGA-PBE | optimized geometry" delta_e_f_ev_per_atom=-0.468 crystal_system=orthorhombic mass_density_g_cm3=11.5 m_tot_mub_per_fu=0.0 e_tot_ev_per_atom=-3.054 space_group="Cmmm (65)" pbc="T T T"
Ho 0.0000 0.0000 0.0000
Ho 2.5892 2.6345 0.0000
Ho 2.5892 2.5792 3.6884
Ho 2.5892 -2.5792 3.6884
Ho 2.5892 -2.6345 0.0000
Sc 0.0000 0.0000 3.6884
Hg 2.5892 5.2668 1.8880
Hg 2.5892 5.2668 5.4888
Hg 2.5892 0.0000 1.8897
Hg 2.5892 0.0000 5.4871
Hg 2.5892 -5.2668 1.8880
Hg 2.5892 -5.2668 5.4888


4
Lattice="3.8330 0.0000 0.0000 0.0000 3.6505 0.0000 -1.9139 0.0000 6.1582" Properties=species:S:1:pos:R:3 comment="MgCd2P | Alexandria via LeMat-Bulk | GGA-PBE | optimized geometry" delta_e_f_ev_per_atom=-0.131 crystal_system=monoclinic mass_density_g_cm3=5.4 m_tot_mub_per_fu=0.0 e_tot_ev_per_atom=-2.340 space_group="Pm (6)" pbc="T T T"
Mg 0.0000 0.0000 0.0000
Cd -0.0035 0.0000 3.6334
Cd 1.9087 1.8253 2.2341
P 0.0019 1.8253 5.7644


12
Lattice="9.7639 -2.1615 0.0000 9.7639 2.1615 0.0000 -6.5361 0.0000 10.6878" Properties=species:S:1:pos:R:3 comment="La2I3F | Alexandria via LeMat-Bulk | GGA-PBE | optimized geometry" e_form_raw_ev_per_atom=-1.90 crystal_system=monoclinic mass_density_g_cm3=5.0 m_tot_mub_per_fu=0.1 e_tot_ev_per_atom=-4.631 space_group="C2/m (12)" pbc="T T T"
La -1.6723 0.0000 4.9304
La 5.7002 0.0000 2.1063
La 7.2915 0.0000 8.5815
La 14.6640 0.0000 5.7574
I 3.0263 0.0000 0.1337
I 3.0579 0.0000 4.0765
I 4.0464 0.0000 8.0819
I 8.9453 0.0000 2.6059
I 9.9338 0.0000 6.6114
I 9.9655 0.0000 10.5541
F -2.7250 0.0000 7.3154
F 15.7168 0.0000 3.3724


5
Lattice="4.7135 0.0000 0.0000 0.0000 4.7135 0.0000 0.0000 0.0000 5.1388" Properties=species:S:1:pos:R:3 comment="BaHfBeFe2 | Alexandria via LeMat-Bulk | GGA-PBE | optimized geometry" delta_e_f_ev_per_atom=1.190 crystal_system=tetragonal mass_density_g_cm3=6.3 m_tot_mub_per_fu=0.2 e_tot_ev_per_atom=-5.316 space_group="P4/mmm (123)" pbc="T T T"
Ba 0.0000 0.0000 0.0000
Hf 2.3568 2.3568 2.5694
Be 2.3568 2.3568 0.0000
Fe 0.0000 2.3568 2.5694
Fe 2.3568 0.0000 2.5694


8
Lattice="3.4106 0.0000 0.0000 0.0000 6.8268 0.0000 0.0000 0.0000 8.0936" Properties=species:S:1:pos:R:3 comment="LiMoBr2 | Alexandria via LeMat-Bulk | GGA-PBE | optimized geometry" e_form_raw_ev_per_atom=0.07 crystal_system=orthorhombic mass_density_g_cm3=4.6 m_tot_mub_per_fu=2.8 e_tot_ev_per_atom=-3.953 space_group="Immm (71)" pbc="T T T"
Li 0.0000 0.0000 0.0000
Li 1.7053 3.4134 4.0468
Mo 0.0000 0.0000 4.0468
Mo 1.7053 3.4134 0.0000
Br 0.0000 3.4134 2.0233
Br 0.0000 3.4134 6.0703
Br 1.7053 0.0000 2.0235
Br 1.7053 0.0000 6.0701


5
Lattice="4.0909 0.0000 0.0000 0.0000 4.0909 0.0000 0.0000 0.0000 4.0909" Properties=species:S:1:pos:R:3 comment="SbTeH3 | Alexandria via LeMat-Bulk | GGA-PBE | optimized geometry" crystal_system=cubic mass_density_g_cm3=6.1 m_tot_mub_per_fu=0.0 e_tot_ev_per_atom=-2.646 space_group="Pm-3m (221)" pbc="T T T"
Sb 0.0000 0.0000 0.0000
Te 2.0454 2.0454 2.0454
H 0.0000 2.0454 2.0454
H 2.0454 0.0000 2.0454
H 2.0454 2.0454 0.0000


12
Lattice="6.5332 -2.4031 0.0000 6.5332 2.4031 0.0000 -1.1760 0.0000 4.9253" Properties=species:S:1:pos:R:3 comment="Ni4GeS | Alexandria via LeMat-Bulk | GGA-PBE | optimized geometry" e_form_raw_ev_per_atom=-0.17 crystal_system=monoclinic mass_density_g_cm3=7.3 m_tot_mub_per_fu=0.0 e_tot_ev_per_atom=-5.487 space_group="C2/c (15)" pbc="T T T"
Ni 0.6240 0.4075 2.1612
Ni 0.0360 -0.4075 4.6239
Ni 3.6060 0.3245 4.2606
Ni 4.1940 -0.3245 1.7979
Ni 7.6964 0.3245 3.1273
Ni 8.2845 -0.3245 0.6647
Ni 11.8544 0.4075 0.3014
Ni 11.2664 -0.4075 2.7640
Ge 6.2392 0.8044 1.2313
Ge 5.6512 -0.8044 3.6940
S 2.6786 1.2016 2.4626
S 3.2666 -1.2016 0.0000


4
Lattice="3.1514 0.0000 0.0000 0.0000 3.1514 0.0000 0.0000 0.0000 6.1746" Properties=species:S:1:pos:R:3 comment="Ti2AlOs | Alexandria via LeMat-Bulk | GGA-PBE | optimized geometry" delta_e_f_ev_per_atom=-0.491 crystal_system=tetragonal mass_density_g_cm3=8.5 m_tot_mub_per_fu=0.0 e_tot_ev_per_atom=-8.181 space_group="P4/mmm (123)" pbc="T T T"
Ti 0.0000 0.0000 1.4804
Ti 0.0000 0.0000 4.6942
Al 1.5757 1.5757 3.0873
Os 1.5757 1.5757 0.0000


5
Lattice="4.0001 0.0000 0.0000 0.0000 4.0001 0.0000 0.0000 0.0000 5.5549" Properties=species:S:1:pos:R:3 comment="SiSbSeN2 | Alexandria via LeMat-Bulk | GGA-PBE | optimized geometry" e_form_raw_ev_per_atom=1.32 crystal_system=tetragonal mass_density_g_cm3=4.8 m_tot_mub_per_fu=0.0 e_tot_ev_per_atom=-4.620 space_group="P4/mmm (123)" pbc="T T T"
Si 0.0000 0.0000 0.0000
Sb 2.0000 2.0000 2.7774
Se 2.0000 2.0000 0.0000
N 0.0000 2.0000 2.7774
N 2.0000 0.0000 2.7774